BaB2MoO6 after structural relaxation. Source: the Alexandria database, functional PBE with a Hubbard U.

CIF file:
```
data_BaB2MoO6
_chemical_formula_sum 'Ba3 B6 Mo3 O18'
_cell_length_a 5.1777
_cell_length_b 5.1777
_cell_length_c 17.1373
_cell_angle_alpha 90.00
_cell_angle_beta 90.00
_cell_angle_gamma 120.00
_space_group_name_H-M_alt 'R -3'
_space_group_IT_number 148
_space_group_name_Hall '-R 3'
loop_
_atom_site_label
_atom_site_type_symbol
_atom_site_fract_x
_atom_site_fract_y
_atom_site_fract_z
Ba1 Ba 0.0000 0.0000 0.0000
B1 B 0.0000 0.0000 0.2347
Mo1 Mo 0.0000 0.0000 0.5000
O1 O 0.0325 0.4618 0.9049
```

Output
DFT total energy (eV per atom): -7.579